Here is a relaxed structure of PaCdFe from OQMD. Energies are from PBE-GGA.

```
data_PaCdFe
_chemical_formula_sum 'Pa1 Cd1 Fe1'
_symmetry_space_group_name_H-M 'P 1'
_symmetry_Int_Tables_number 1
_symmetry_space_group_name_Hall 'P 1'
_cell_length_a 4.6639
_cell_length_b 4.6639
_cell_length_c 4.6639
_cell_angle_alpha 60.00
_cell_angle_beta 60.00
_cell_angle_gamma 60.00
loop_
_atom_site_label
_atom_site_fract_x
_atom_site_fract_y
_atom_site_fract_z
Pa1 0.0000 0.0000 0.0000
Cd1 0.2500 0.2500 0.2500
Fe1 0.7500 0.7500 0.7500
```

Properties
The calculation puts the energy of formation from the pure elements at 3.36 eV per formula unit. The total energy is -5.112 eV per atom. The energy above the most stable polymorph in this dataset comes out at 806 meV per atom.


Here is a relaxed structure of ScCdFePb from OQMD. Energies are from PBE-GGA.

```
data_ScCdFePb
_chemical_formula_sum 'Sc1 Cd1 Fe1 Pb1'
_symmetry_space_group_name_H-M 'P 1'
_symmetry_Int_Tables_number 1
_symmetry_space_group_name_Hall 'P 1'
_cell_length_a 4.8103
_cell_length_b 4.8103
_cell_length_c 4.8103
_cell_angle_alpha 60.00
_cell_angle_beta 60.00
_cell_angle_gamma 60.00
loop_
_atom_site_label
_atom_site_fract_x
_atom_site_fract_y
_atom_site_fract_z
Sc1 0.0000 0.0000 0.0000
Cd1 0.7500 0.7500 0.7500
Fe1 0.5000 0.5000 0.5000
Pb1 0.2500 0.2500 0.2500
```

Properties
The total energy is -4.692 eV per atom. The energy above the most stable polymorph in this dataset comes out at 0 meV per atom.


Here is a relaxed structure of ScCdFePb from OQMD. Energies are from PBE-GGA.

```
data_ScCdFePb
_chemical_formula_sum 'Sc1 Cd1 Fe1 Pb1'
_symmetry_space_group_name_H-M 'P 1'
_symmetry_Int_Tables_number 1
_symmetry_space_group_name_Hall 'P 1'
_cell_length_a 4.8677
_cell_length_b 4.8677
_cell_length_c 4.8677
_cell_angle_alpha 60.00
_cell_angle_beta 60.00
_cell_angle_gamma 60.00
loop_
_atom_site_label
_atom_site_fract_x
_atom_site_fract_y
_atom_site_fract_z
Sc1 0.0000 0.0000 0.0000
Cd1 0.2500 0.2500 0.2500
Fe1 0.7500 0.7500 0.7500
Pb1 0.5000 0.5000 0.5000
```

Properties
The total energy is -4.597 eV per atom. The energy above the most stable polymorph in this dataset comes out at 95 meV per atom.


Here is a relaxed structure of CdFePbSe3 from OQMD. Energies are from PBE-GGA.

```
data_CdFePbSe3
_chemical_formula_sum 'Cd2 Fe2 Pb2 Se6'
_symmetry_space_group_name_H-M 'P 1'
_symmetry_Int_Tables_number 1
_symmetry_space_group_name_Hall 'P 1'
_cell_length_a 7.5503
_cell_length_b 7.5503
_cell_length_c 10.4655
_cell_angle_alpha 90.00
_cell_angle_beta 90.00
_cell_angle_gamma 152.02
loop_
_atom_site_label
_atom_site_fract_x
_atom_site_fract_y
_atom_site_fract_z
Cd1 0.1425 0.8575 0.7500
Cd2 0.8575 0.1425 0.2500
Fe1 0.5000 0.5000 0.0000
Fe2 0.5000 0.5000 0.5000
Pb1 0.1834 0.8166 0.2500
Pb2 0.8166 0.1834 0.7500
Se1 0.1063 0.8937 0.5032
Se2 0.1063 0.8937 0.9968
Se3 0.4838 0.5162 0.7500
Se4 0.5162 0.4838 0.2500
Se5 0.8937 0.1063 0.0032
Se6 0.8937 0.1063 0.4968
```

Properties
The total energy is -4.055 eV per atom. The energy above the most stable polymorph in this dataset comes out at 136 meV per atom.